Computed, not measured: a relaxed TlFe2CuOs crystal at the PBE-GGA level of DFT.

Lattice parameters (Å, degrees): 4.7880 4.7880 4.5939 90.00 90.00 90.00
With the nearest neighbours (Å) after each atom.
Space group P4/mmm (No. 123)
Asymmetric unit:
Tl 0.0000 0.0000 0.0000 (multiplicity 1)  2 Cu 2.30, 4 Fe 2.39
Fe 0.0000 0.5000 0.0000 (multiplicity 2)  2 Tl 2.39
Cu 0.0000 0.0000 0.5000 (multiplicity 1)  2 Tl 2.30
Os 0.5000 0.5000 0.5000 (multiplicity 1)  8 Fe 3.32, 4 Cu 3.39

Summary:
density of states at the Fermi level: 6.020 states/eV per cell
size of the total moment: 1.5799 μB per atom
ΔE_f: 2223 meV per atom